Compound: Sm2Ho3Os2
Source: Alexandria
Functional: PBE
Structure: relaxed

```
7
Lattice="3.9629 0.0000 0.0000 -1.9814 5.9846 -0.2479 0.0000 -3.0897 7.8856" Properties=species:S:1:pos:R:3 pbc="T T T"
Sm 1.9814 3.4414 1.3549
Sm 0.0000 -0.5465 6.2828
Ho 1.9814 0.0000 0.0000
Ho 1.9814 0.1823 3.3100
Ho 0.0000 2.7126 4.3277
Os 1.9814 1.4705 5.9918
Os 0.0000 1.4244 1.6459
```

## Properties
calculated formation energy: -0.217 eV/atom
N(E_F): 0.69 states/eV/atom
E_tot: -0.2475 hartree per atom
total moment: 0.00 μB per formula unit

Compound: SmHo3Os
Source: Alexandria
Functional: PBE
Structure: relaxed

```
5
Lattice="5.4138 0.0000 0.0000 0.0000 5.4138 0.0000 0.0000 0.0000 5.4138" Properties=species:S:1:pos:R:3 pbc="T T T"
Os 0.0000 0.0000 0.0000
Ho 0.0000 2.7069 0.0000
Ho 0.0000 0.0000 2.7069
Ho 2.7069 0.0000 0.0000
Sm 2.7069 2.7069 2.7069
```

## Properties
calculated formation energy: 0.000 eV/atom
N(E_F): 1.45 states/eV/atom
energy relative to the lowest polymorph listed for this composition: 107 meV/atom
E_tot: -0.2182 hartree per atom
total moment: 0.01 μB per formula unit

Compound: SmHo2Os
Source: Alexandria
Functional: PBE
Structure: relaxed

```
16
Lattice="6.3724 0.0000 0.0000 0.0000 7.4371 0.0000 0.0000 0.0000 9.0630" Properties=species:S:1:pos:R:3 pbc="T T T"
Sm 4.0038 4.0104 2.2658
Sm 5.5549 0.2918 2.2658
Sm 2.3687 3.4267 6.7973
Sm 0.8176 7.1453 6.7973
Ho 1.0506 5.0134 0.5786
Ho 2.1356 1.2948 3.9529
Ho 5.3218 2.4237 5.1102
Ho 4.2368 6.1423 8.4844
Ho 5.3218 2.4237 8.4844
Ho 4.2368 6.1423 5.1102
Ho 1.0506 5.0134 3.9529
Ho 2.1356 1.2948 0.5786
Os 0.3001 2.8519 2.2658
Os 2.8861 6.5704 2.2658
Os 6.0723 4.5853 6.7973
Os 3.4864 0.8667 6.7973
```

## Properties
calculated formation energy: -0.235 eV/atom
N(E_F): 0.84 states/eV/atom
energy relative to the lowest polymorph listed for this composition: 0 meV/atom
E_tot: -0.2393 hartree per atom
total moment: 0.00 μB per formula unit

Compound: Sm2HoOs
Source: Alexandria
Functional: PBE
Structure: relaxed

```
8
Lattice="4.0506 -0.1689 0.0000 -1.7779 6.0493 0.0000 0.0000 0.0000 9.1427" Properties=species:S:1:pos:R:3 pbc="T T T"
Sm 0.0708 1.7001 3.9621
Sm 2.2019 4.1803 5.1806
Sm 2.2019 4.1803 8.5335
Sm 0.0708 1.7001 0.6092
Ho 0.2089 5.0321 2.2857
Ho 2.0638 0.8483 6.8570
Os 2.1538 3.0232 2.2857
Os 0.1189 2.8572 6.8570
```

## Properties
calculated formation energy: -0.171 eV/atom
N(E_F): 0.71 states/eV/atom
energy relative to the lowest polymorph listed for this composition: 17 meV/atom
E_tot: -0.2382 hartree per atom
total moment: 0.00 μB per formula unit

Compound: Sm2HoOs
Source: Alexandria
Functional: PBE
Structure: relaxed

```
4
Lattice="3.5241 0.0000 0.0000 1.7621 3.0520 0.0000 1.7621 1.0173 10.8870" Properties=species:S:1:pos:R:3 pbc="T T T"
Os 3.5241 2.0347 5.4435
Ho 0.0000 0.0000 0.0000
Sm 1.7621 1.0173 7.4420
Sm 5.2862 3.0520 3.4450
```

## Properties
calculated formation energy: 0.359 eV/atom
N(E_F): 1.58 states/eV/atom
energy relative to the lowest polymorph listed for this composition: 548 meV/atom
E_tot: -0.2187 hartree per atom
total moment: 0.04 μB per formula unit

Compound: SmHoOs
Source: Alexandria
Functional: PBE
Structure: relaxed

```
3
Lattice="4.8136 0.0000 0.0000 2.4068 4.1687 0.0000 2.4068 1.3896 3.9303" Properties=species:S:1:pos:R:3 pbc="T T T"
Os 2.4068 1.3896 0.9826
Ho 0.0000 0.0000 0.0000
Sm 4.8136 2.7791 1.9651
```

## Properties
calculated formation energy: -0.161 eV/atom
N(E_F): 0.63 states/eV/atom
energy relative to the lowest polymorph listed for this composition: 15 meV/atom
E_tot: -0.2574 hartree per atom
total moment: 0.00 μB per formula unit

Compound: SmHo2Os
Source: Alexandria
Functional: PBE
Structure: relaxed

```
8
Lattice="3.9700 -0.0001 0.0000 -1.9846 6.0297 0.0000 0.0000 0.0000 9.0293" Properties=species:S:1:pos:R:3 pbc="T T T"
Sm 1.9851 5.1358 2.2573
Sm 0.0003 0.8939 6.7720
Ho 0.0000 4.2605 5.1204
Ho 1.9855 1.7691 3.9088
Ho 0.0000 4.2605 8.4235
Ho 1.9855 1.7691 0.6058
Os 1.9849 2.9388 6.7720
Os 0.0005 3.0908 2.2573
```

## Properties
calculated formation energy: -0.218 eV/atom
N(E_F): 0.98 states/eV/atom
energy relative to the lowest polymorph listed for this composition: 17 meV/atom
E_tot: -0.2386 hartree per atom
total moment: 0.00 μB per formula unit

Compound: SmHo2Os
Source: Alexandria
Functional: PBE
Structure: relaxed

```
4
Lattice="-0.2633 -3.1066 -1.3608 3.2451 0.1659 -1.0066 2.6764 -3.7366 8.0126" Properties=species:S:1:pos:R:3 pbc="T T T"
Os 1.4909 -1.4703 -1.1837
Ho 2.1995 -3.0708 6.5848
Ho 0.4769 -0.6658 1.4278
Sm 2.8291 -3.3387 2.8226
```

## Properties
calculated formation energy: -0.143 eV/atom
N(E_F): 0.64 states/eV/atom
energy relative to the lowest polymorph listed for this composition: 91 meV/atom
E_tot: -0.2359 hartree per atom
total moment: 0.00 μB per formula unit

Compound: SmHo2Os
Source: Alexandria
Functional: PBE
Structure: relaxed

```
4
Lattice="3.4409 0.0000 0.0000 1.7204 2.9799 0.0000 1.7204 0.9933 10.9333" Properties=species:S:1:pos:R:3 pbc="T T T"
Os 3.4409 1.9866 5.4666
Ho 1.7204 0.9933 7.4497
Ho 5.1613 2.9799 3.4836
Sm 0.0000 0.0000 0.0000
```

## Properties
calculated formation energy: 0.249 eV/atom
N(E_F): 1.57 states/eV/atom
energy relative to the lowest polymorph listed for this composition: 484 meV/atom
E_tot: -0.2215 hartree per atom
total moment: 0.00 μB per formula unit

Compound: SmHo3Os
Source: Alexandria
Functional: PBE
Structure: relaxed

```
20
Lattice="-1.7677 1.3480 7.4825 6.9229 -0.6765 1.7574 -0.0364 10.2065 -1.8474" Properties=species:S:1:pos:R:3 pbc="T T T"
Sm 3.1965 3.2838 8.1330
Sm 1.9223 7.5942 -0.7405
Sm 1.1320 3.1075 3.6055
Sm 3.9868 7.7705 3.7870
Ho 0.4218 4.5030 0.5115
Ho 4.6970 6.3750 6.8810
Ho 5.0680 1.0027 6.3112
Ho 0.0508 9.8754 1.0813
Ho 4.6652 3.7296 4.4965
Ho 0.4536 7.1484 2.8960
Ho -0.4098 2.7175 7.5514
Ho 5.5286 8.1606 -0.1589
Ho 3.7384 5.2540 1.5305
Ho 1.3804 5.6240 5.8620
Ho 1.5540 10.5810 4.1262
Ho 3.5648 0.2971 3.2663
Os 6.1990 6.4350 2.0523
Os -1.0801 4.4431 5.3402
Os -0.9730 9.4508 3.8861
Os 6.0918 1.4273 3.5064
```

## Properties
calculated formation energy: -0.108 eV/atom
N(E_F): 1.01 states/eV/atom
energy relative to the lowest polymorph listed for this composition: 0 meV/atom
E_tot: -0.2221 hartree per atom
total moment: 0.00 μB per formula unit

Compound: SmHoOs
Source: Alexandria
Functional: PBE
Structure: relaxed

```
9
Lattice="-2.6544 3.2469 -3.4898 0.1192 -5.3895 -0.8402 -6.7647 -0.8312 4.3719" Properties=species:S:1:pos:R:3 pbc="T T T"
Sm -5.9379 0.1282 -1.6649
Sm -6.9827 0.8738 1.8593
Sm -2.4160 -1.1446 -1.4564
Ho -5.1542 -2.7206 -0.9939
Ho -5.9926 -1.8006 2.8828
Ho -1.4162 -4.2577 -0.5013
Os -4.2714 -0.2264 0.8463
Os -7.7585 -1.5449 0.1990
Os -3.3066 1.6288 -2.3072
```

## Properties
calculated formation energy: 0.170 eV/atom
N(E_F): 0.72 states/eV/atom
energy relative to the lowest polymorph listed for this composition: 346 meV/atom
E_tot: -0.2452 hartree per atom
total moment: 0.00 μB per formula unit

Compound: SmHoOs
Source: Alexandria
Functional: PBE
Structure: relaxed

```
3
Lattice="-3.1133 0.8771 1.1029 -1.2213 -0.3455 -3.1729 0.7925 -6.6911 2.2638" Properties=species:S:1:pos:R:3 pbc="T T T"
Os -2.6333 -1.9116 -0.6186
Ho -0.7982 -3.7306 0.7134
Sm -0.1107 -0.5172 0.0989
```

## Properties
calculated formation energy: -0.176 eV/atom
N(E_F): 0.52 states/eV/atom
energy relative to the lowest polymorph listed for this composition: 0 meV/atom
E_tot: -0.2579 hartree per atom
total moment: 0.00 μB per formula unit

Compound: SmHoTlOs
Source: Alexandria
Functional: PBE
Structure: relaxed

```
4
Lattice="-2.7654 -0.3783 -4.2788 2.3335 -0.5990 -4.5050 -0.3025 -4.4676 -2.4593" Properties=species:S:1:pos:R:3 pbc="T T T"
Tl 0.0000 0.0000 0.0000
Os -0.3672 -2.7225 -5.6215
Ho -0.5508 -4.0837 -8.4323
Sm -0.1836 -1.3612 -2.8108
```

## Properties
calculated formation energy: -0.111 eV/atom
N(E_F): 0.73 states/eV/atom
E_tot: -0.2144 hartree per atom
total moment: 0.00 μB per formula unit

Compound: Ho4SnOs
Source: Alexandria
Functional: PBE
Structure: relaxed

```
12
Lattice="-0.4778 1.3709 5.9207 5.0133 -6.8491 -0.6562 3.0980 6.7133 -3.1194" Properties=species:S:1:pos:R:3 pbc="T T T"
Ho 3.6961 4.4129 -2.5108
Ho 5.2963 0.5982 2.1036
Ho 5.7828 1.7454 -1.2885
Ho 6.6059 -1.4825 -0.4466
Ho 1.0276 2.7176 2.5917
Ho 1.8508 -0.5103 3.4336
Ho 2.3372 0.6370 0.0415
Ho 3.9374 -3.1777 4.6559
Sn 3.7747 -2.0541 1.0261
Sn 3.8588 3.2893 1.1190
Os -0.1164 0.3450 1.4799
Os 7.7499 0.8902 0.6652
```

## Properties
calculated formation energy: -0.465 eV/atom
N(E_F): 0.91 states/eV/atom
E_tot: -0.2225 hartree per atom
total moment: 0.00 μB per formula unit

Compound: Ho7Sn2Os2
Source: Alexandria
Functional: PBE
Structure: relaxed

```
11
Lattice="6.7262 -0.0028 -0.6638 0.0031 7.1226 0.0032 -1.0816 -0.0024 6.6718" Properties=species:S:1:pos:R:3 pbc="T T T"
Ho 6.1846 1.7451 2.6751
Ho 2.2861 5.3697 6.3409
Ho -0.5369 5.3723 3.3361
Ho 3.3616 1.7477 -0.3297
Ho 0.0000 0.0000 0.0000
Ho 2.8263 5.4599 3.0050
Ho 2.8214 1.6575 3.0062
Sn 4.6206 3.5571 4.9180
Sn 1.0271 3.5604 1.0932
Os 4.4889 7.1197 1.4443
Os 1.1588 -0.0023 4.5669
```

## Properties
calculated formation energy: -0.299 eV/atom
N(E_F): 0.95 states/eV/atom
E_tot: -0.2198 hartree per atom
total moment: 0.00 μB per formula unit

Compound: Ho12Sn5Os3
Source: Alexandria
Functional: PBE
Structure: relaxed

```
80
Lattice="-8.6994 -11.0479 4.7874 12.1350 -5.6779 -6.4153 3.9990 8.4962 11.5099" Properties=species:S:1:pos:R:3 pbc="T T T"
Os -1.4740 -9.3531 2.6235
Os 1.9892 -12.8633 0.8162
Os 8.3384 -3.0913 4.1775
Os 0.8417 -0.2856 4.7111
Os -5.0953 -8.2526 6.2645
Os 5.3219 -5.5676 0.6632
Os 2.1128 -2.6620 9.2188
Os 12.5300 0.0230 3.6174
Os 6.5930 -7.9440 5.1708
Os -0.9037 -5.1383 5.7045
Os 5.4455 4.6337 9.0657
Os 8.9087 1.1235 7.2584
Sn 4.4630 -1.3862 1.0702
Sn 6.0675 -2.8390 -3.2077
Sn 0.0000 0.0000 0.0000
Sn 0.2714 -4.5004 1.6302
Sn -2.3502 -1.2759 8.1486
Sn 1.7178 -8.3629 -0.8140
Sn 9.5135 -2.4533 0.1031
Sn -1.5085 -1.5615 12.8598
Sn 2.5595 -8.6485 3.8972
Sn 1.2539 1.5194 9.6258
Sn 6.1808 -9.7490 0.2562
Sn 3.7173 -4.1148 4.9410
Sn -4.3497 -5.5239 2.3937
Sn 1.9995 4.2481 5.7549
Sn 4.8752 0.4189 5.9848
Sn 8.9432 -6.6681 -2.9778
Sn 8.0670 1.4091 2.5473
Sn -2.0788 -5.7763 9.7788
Sn 7.1633 -3.7292 8.2518
Sn 2.9717 -6.8435 8.8118
Ho -4.5247 -8.2932 3.4712
Ho 5.7553 -3.1976 2.9748
Ho -2.5766 -10.1313 5.1352
Ho -1.5595 -6.5051 2.7295
Ho 6.3433 -5.1851 5.8461
Ho -0.6003 -12.0634 2.7665
Ho 7.9579 -4.6537 1.2512
Ho 10.8537 -4.6616 -3.9282
Ho 9.0671 -5.8390 4.3984
Ho 1.5945 -10.1418 1.5695
Ho 0.0546 -7.7614 5.1292
Ho 4.4000 -13.9381 -1.2286
Ho 10.0582 -0.8018 2.4601
Ho 2.5180 -5.6644 0.1546
Ho 11.9388 -3.3423 -1.2778
Ho 0.4073 -0.3419 7.5286
Ho 2.0643 -0.0917 2.1426
Ho 4.5953 -8.0132 -1.4909
Ho 4.6819 -12.0480 1.2795
Ho 3.9095 -3.1719 -1.1846
Ho 11.1511 -2.8603 4.5838
Ho 4.3555 -6.4426 3.1990
Ho 4.2334 -10.2483 5.6911
Ho 0.9786 -2.7198 11.8341
Ho 3.0792 -1.7870 6.6830
Ho 3.2013 2.0187 4.1909
Ho 6.4561 -5.5098 -1.9522
Ho 2.7528 3.8184 8.6025
Ho -3.7164 -5.3693 5.2981
Ho 3.5252 -5.0577 11.0666
Ho 2.8394 -0.2164 11.3728
Ho 7.0274 -7.8877 2.3534
Ho 5.3704 -8.1379 7.7394
Ho -4.5041 -4.8873 11.1598
Ho -2.6235 -7.4278 7.4219
Ho 3.0347 5.7085 11.1106
Ho 4.9167 -2.5652 9.7273
Ho -1.6324 -2.3906 5.4836
Ho 5.8402 1.9122 8.3125
Ho 7.3801 -0.4682 4.7528
Ho -3.4190 -3.5680 13.8102
Ho -0.5233 -3.5760 8.6307
Ho 8.9942 -1.7246 7.1524
Ho 8.0350 3.8338 7.1155
Ho 1.0914 -3.0446 4.0359
Ho 10.0113 1.9017 4.7467
Ho 1.6793 -5.0320 6.9071
Ho 11.9594 0.0636 6.4107
```

## Properties
calculated formation energy: 0.140 eV/atom
N(E_F): 0.95 states/eV/atom
E_tot: -0.1945 hartree per atom
total moment: 0.00 μB per formula unit

Compound: HoSn6Os
Source: Alexandria
Functional: PBE
Structure: relaxed

```
8
Lattice="-3.8629 -5.2955 -2.0929 -1.5681 -5.1213 3.8102 -5.3149 0.0792 3.5886" Properties=species:S:1:pos:R:3 pbc="T T T"
Ho 0.0000 0.0000 0.0000
Sn -6.7094 -6.7666 2.5287
Sn -5.4389 -4.4894 0.4428
Sn -5.3070 -5.8482 4.8630
Sn -4.0365 -3.5710 2.7772
Sn -3.9059 -7.5167 1.2745
Sn -1.5251 -2.9000 0.4427
Os -2.7155 -5.2084 0.8586
```

## Properties
calculated formation energy: 0.016 eV/atom
N(E_F): 0.51 states/eV/atom
E_tot: -0.1823 hartree per atom
total moment: 0.00 μB per formula unit

Compound: Ho12Sn6Os
Source: Alexandria
Functional: PBE
Structure: relaxed

```
19
Lattice="8.5865 -0.0613 -0.0734 -1.3623 8.4780 -0.0734 -1.3623 -1.5872 8.3284" Properties=species:S:1:pos:R:3 pbc="T T T"
Ho 5.5227 4.1252 3.5773
Ho 1.9132 5.8807 4.6980
Ho 3.2403 2.4325 6.6256
Ho 0.3392 2.7044 4.6043
Ho 3.9488 0.9488 3.4836
Ho 2.6217 4.3970 1.5561
Ho -1.2753 7.8140 2.5339
Ho -2.0551 4.3229 7.8035
Ho 4.5845 7.9238 0.0406
Ho 7.1372 -0.9845 5.6478
Ho 7.9170 2.5066 0.3781
Ho 1.2774 -1.0943 8.1410
Sn 4.2310 6.8179 2.9019
Sn 4.8854 2.3993 0.9549
Sn -0.2357 4.9063 2.5313
Sn 1.6309 0.0117 5.2797
Sn 0.9766 4.4302 7.2267
Sn 6.0977 1.9232 5.6503
Os 0.0000 0.0000 0.0000
```

## Properties
calculated formation energy: -0.375 eV/atom
N(E_F): 0.83 states/eV/atom
E_tot: -0.1882 hartree per atom
total moment: 0.00 μB per formula unit

Compound: SrHo3Os
Source: Alexandria
Functional: PBE
Structure: relaxed

```
5
Lattice="-4.1741 -2.0684 2.8989 1.6915 -5.0819 -1.1904 3.1337 -0.0119 4.5038" Properties=species:S:1:pos:R:3 pbc="T T T"
Sr 0.3256 -3.5811 3.1061
Os 0.0000 0.0000 0.0000
Ho 0.8458 -2.5410 -0.5952
Ho 1.5669 -0.0060 2.2519
Ho -2.0870 -1.0342 1.4494
```

## Properties
calculated formation energy: -0.085 eV/atom
N(E_F): 0.67 states/eV/atom
E_tot: -0.1990 hartree per atom
total moment: 0.00 μB per formula unit

Compound: SrHo2Os
Source: Alexandria
Functional: PBE
Structure: relaxed

```
4
Lattice="-0.1196 1.4784 3.7244 -1.1437 -2.3382 3.0490 9.7225 -3.2762 3.7701" Properties=species:S:1:pos:R:3 pbc="T T T"
Sr 0.0000 0.0000 0.0000
Os 4.2296 -2.0680 5.2718
Ho 6.0360 -2.1897 3.2205
Ho 2.4233 -1.9463 7.3230
```

## Properties
calculated formation energy: 0.163 eV/atom
N(E_F): 0.63 states/eV/atom
energy relative to the lowest polymorph listed for this composition: 269 meV/atom
E_tot: -0.1967 hartree per atom
total moment: 0.00 μB per formula unit

Compound: SrHo2Os
Source: Alexandria
Functional: PBE
Structure: relaxed

```
4
Lattice="3.4513 0.0000 0.0000 0.0000 3.4513 0.0000 0.0000 0.0000 9.9670" Properties=species:S:1:pos:R:3 pbc="T T T"
Sr 1.7257 1.7257 4.9835
Os 1.7257 1.7257 0.0000
Ho 0.0000 0.0000 8.3469
Ho 0.0000 0.0000 1.6200
```

## Properties
calculated formation energy: -0.106 eV/atom
N(E_F): 0.56 states/eV/atom
energy relative to the lowest polymorph listed for this composition: 0 meV/atom
E_tot: -0.2066 hartree per atom
total moment: 0.00 μB per formula unit